1.
DFT (PBE) results for ZnCrRh after structural relaxation.

ρ = 8.61 g/cm3
Energy of formation = 0.3 kJ/mol of atoms
Total magnetic moment = 0.00 μB per cell
Space group = No. 12
Energy above the most stable polymorph in this dataset = 72 meV/atom
DOS at the Fermi energy = 1.43 states/eV/f.u.

Lattice parameters (Å, degrees): 4.401 4.372 5.173 97.61 90.00 120.22
Atoms (fractional coordinates):
1 Zn 0.807 0.614 0.134
2 Zn 0.193 0.386 0.866
3 Rh 0.846 0.691 0.646
4 Rh 0.154 0.309 0.354
5 Cr 0.511 0.023 0.682
6 Cr 0.489 0.977 0.318

2.
DFT (PBE) results for Hg2Pd3Se4 after structural relaxation.

ρ = 7.18 g/cm3
Total magnetic moment = 0.00 μB per cell
Space group = No. 69
Uncorrected formation energy = -0.1683 eV per atom
DOS at the Fermi energy = 0.94 states/eV/f.u.

Lattice parameters (Å, degrees): 5.822 5.822 8.108 106.33 106.33 102.52
Atoms (fractional coordinates):
1 Hg 0.617 0.617 0.233
2 Hg 0.383 0.383 0.767
3 Pd 0.500 0.000 0.000
4 Pd 0.000 0.500 0.000
5 Pd 0.000 0.000 0.000
6 Se 0.328 0.910 0.238
7 Se 0.672 0.090 0.762
8 Se 0.090 0.672 0.762
9 Se 0.910 0.328 0.238

3.
DFT (PBE) results for Na4Pb2Se after structural relaxation.

ρ = 3.62 g/cm3
Total magnetic moment = 0.00 μB per cell
Space group = No. 139
Uncorrected formation energy = -0.2092 eV per atom
DOS at the Fermi energy = 3.94 states/eV/f.u.

Lattice parameters (Å, degrees): 6.088 6.088 8.426 68.82 68.82 90.00
Atoms (fractional coordinates):
1 Pb 0.597 0.597 0.805
2 Pb 0.403 0.403 0.195
3 Na 0.813 0.813 0.373
4 Na 0.187 0.187 0.627
5 Na 0.000 0.500 0.000
6 Na 0.500 0.000 0.000
7 Se 0.000 0.000 0.000